# Tm4MgSc5

A relaxed Tm4MgSc5 crystal (PBE, Alexandria via LeMat-Bulk).

```
Tm4MgSc5
1.0
3.3766 0.0000 0.0000
0.0000 3.3766 0.0000
0.0000 0.0000 23.2165
Tm Mg Sc
4 1 5
Direct
0.0000 0.0000 0.1023 Tm
0.0000 0.0000 0.3071 Tm
0.0000 0.0000 0.6929 Tm
0.0000 0.0000 0.8977 Tm
0.0000 0.0000 0.5000 Mg
0.5000 0.5000 0.0000 Sc
0.5000 0.5000 0.2048 Sc
0.5000 0.5000 0.4081 Sc
0.5000 0.5000 0.5919 Sc
0.5000 0.5000 0.7952 Sc
```

## Properties
Space group   P4/mmm
Relative energy among the computed polymorphs   0.0 meV per atom
DFT formation energy   0.03 eV per atom


# CaAcAl2Au4

A relaxed CaAcAl2Au4 crystal (PBE, Alexandria via LeMat-Bulk).

```
CaAcAl2Au4
1.0
2.2567 1.3029 10.4416
-2.2567 1.3029 10.4416
0.0000 -2.6058 10.4416
Ca Ac Al Au
1 1 2 4
Direct
0.0000 0.0000 0.0000 Ca
0.5000 0.5000 0.5000 Ac
0.2562 0.2562 0.2562 Al
0.7438 0.7438 0.7438 Al
0.1024 0.1024 0.1024 Au
0.3906 0.3906 0.3906 Au
0.6094 0.6094 0.6094 Au
0.8976 0.8976 0.8976 Au
```

## Properties
Space group   R-3m
DFT formation energy   -0.67 eV per atom


# CaNpRu4

A relaxed CaNpRu4 crystal (PBE, Alexandria via LeMat-Bulk).

```
CaNpRu4
1.0
0.0000 3.7592 3.7592
3.7592 0.0000 3.7592
3.7592 3.7592 0.0000
Ca Np Ru
1 1 4
Direct
0.0000 0.0000 0.0000 Ca
0.2500 0.2500 0.2500 Np
0.1249 0.6250 0.6250 Ru
0.6250 0.1249 0.6250 Ru
0.6250 0.6250 0.1249 Ru
0.6250 0.6250 0.6250 Ru
```

## Properties
Space group   F-43m
DFT formation energy   0.07 eV per atom


# HfCoSn2

A relaxed HfCoSn2 crystal (PBE, Alexandria via LeMat-Bulk).

```
HfCoSn2
1.0
-2.0828 2.0828 9.8681
2.0828 -2.0828 9.8681
2.0828 2.0828 -9.8681
Hf Co Sn
2 2 4
Direct
0.0000 0.0000 0.0000 Hf
0.7500 0.2500 0.5000 Hf
0.2500 0.7500 0.5000 Co
0.5000 0.5000 0.0000 Co
0.1396 0.6250 0.0146 Sn
0.3750 0.3896 0.5146 Sn
0.6104 0.1250 0.9854 Sn
0.8750 0.8604 0.4854 Sn
```

## Properties
Space group   I-42d
Relative energy among the computed polymorphs   103.3 meV per atom
DFT formation energy   0.30 eV per atom


# Cs5Na4Hg

A relaxed Cs5Na4Hg crystal (PBE, Alexandria via LeMat-Bulk).

```
Cs5Na4Hg
1.0
13.2748 -2.7085 0.0000
13.2748 2.7085 0.0000
-4.4236 0.0000 9.9912
Cs Na Hg
5 4 1
Direct
0.0000 0.0000 0.0000 Cs
0.3044 0.3044 0.8907 Cs
0.3574 0.3574 0.5002 Cs
0.6426 0.6426 0.4998 Cs
0.6956 0.6956 0.1093 Cs
0.1145 0.1145 0.7745 Na
0.4749 0.4749 0.3171 Na
0.5251 0.5251 0.6829 Na
0.8855 0.8855 0.2255 Na
0.0000 0.0000 0.5000 Hg
```

## Properties
Space group   C2/m
DFT formation energy   -0.02 eV per atom


# MnSb2TeC

A relaxed MnSb2TeC crystal (PBE, Alexandria via LeMat-Bulk).

```
MnSb2TeC
1.0
4.9084 0.0000 0.0000
0.0000 4.9084 0.0000
0.0000 0.0000 4.9731
Mn Sb Te C
1 2 1 1
Direct
0.0000 0.0000 0.0000 Mn
0.0000 0.5000 0.0000 Sb
0.5000 0.0000 0.0000 Sb
0.0000 0.0000 0.5000 Te
0.5000 0.5000 0.5000 C
```

## Properties
Formation energy from raw total energies   1629 meV per atom
Space group   P4/mmm
Relative energy among the computed polymorphs   202.7 meV per atom


# LiSc2P

A relaxed LiSc2P crystal (PBE, Alexandria via LeMat-Bulk).

```
LiSc2P
1.0
-1.8359 2.3147 4.5435
1.8359 -2.3147 4.5435
1.8359 2.3147 -4.5435
Li Sc P
1 2 1
Direct
0.0000 0.0000 0.0000 Li
0.2951 0.7951 0.5000 Sc
0.7049 0.2049 0.5000 Sc
0.5000 0.5000 0.0000 P
```

## Properties
Space group   Immm
DFT formation energy   -0.49 eV per atom


# AsPRu2

A relaxed AsPRu2 crystal (PBE, Alexandria via LeMat-Bulk).

```
AsPRu2
1.0
-1.5305 1.7804 5.3726
1.5305 -1.7804 5.3726
1.5305 1.7804 -5.3726
As P Ru
1 1 2
Direct
0.0000 0.0000 0.0000 As
0.2417 0.7417 0.5000 P
0.4055 0.4055 0.0000 Ru
0.6717 0.1717 0.5000 Ru
```

## Properties
Space group   Imm2
Relative energy among the computed polymorphs   73.6 meV per atom
DFT formation energy   -0.22 eV per atom